Crystalline Li2CaTl at its relaxed geometry, computed with GGA-PBEsol.

Calculated values
**Total magnetization**: 0.00 μB per formula unit
**Electronic total energy**: -2.416 eV per atom
**DFT formation energy**: -0.97 eV/f.u.

a b c (Å): 9.9050 4.3468 4.9988
angles (deg): 90.00 120.03 90.00
Last column: nearest neighbours and their distance in Å.
Space group Cm (No. 8)
Symmetry-distinct sites (fractional):
Li 0.0000 0.0000 0.0000 x2  2 Li 2.92, 4 Ca 3.17-3.19
Li 0.2282 0.5000 0.2269 x2  2 Li 2.92, 2 Tl 2.97
Ca 0.2315 0.0000 0.7296 x2  4 Tl 3.16-3.20, 8 Li 3.17-3.31
Tl 0.4645 0.0000 0.4607 x2  4 Li 2.97-3.31, 4 Ca 3.16-3.20

=====

Crystalline Li2CaTl at its relaxed geometry, computed with GGA-PBEsol.

Calculated values
**Total magnetization**: 0.00 μB per formula unit
**Electronic total energy**: -2.262 eV per atom
**DFT formation energy**: -0.35 eV/f.u.

a b c (Å): 4.4483 4.4483 21.0808
angles (deg): 90.00 90.00 90.00
Last column: nearest neighbours and their distance in Å.
Space group I-42d (No. 122)
Symmetry-distinct sites (fractional):
Li 0.1778 0.2500 0.1250 x8  2 Li 2.73, 2 Tl 2.97
Ca 0.0000 0.0000 0.5000 x4  4 Tl 3.15, 4 Li 3.20
Tl 0.0000 0.0000 0.0000 x4  4 Li 2.97, 4 Ca 3.15